<i>
Below is crystalline YCd2Au2 at its relaxed geometry, with properties calculated at the PBE level.

The structure in CIF format:
```
data_YCd2Au2
_chemical_formula_sum 'Y2 Cd4 Au4'
_symmetry_space_group_name_H-M 'I 4/m m m'
_symmetry_Int_Tables_number 139
_symmetry_space_group_name_Hall '-I 4 2'
_cell_length_a 4.085
_cell_length_b 4.085
_cell_length_c 13.558
_cell_angle_alpha 90.00
_cell_angle_beta 90.00
_cell_angle_gamma 90.00
loop_
_atom_site_label
_atom_site_type_symbol
_atom_site_fract_x
_atom_site_fract_y
_atom_site_fract_z
Y1 Y 0.000 0.000 0.000
Cd1 Cd 0.000 0.500 0.250
Au1 Au 0.000 0.000 0.400
```



<ii>
Below is crystalline YCd2Au2 at its relaxed geometry, with properties calculated at the PBE level.

The structure in CIF format:
```
data_YCd2Au2
_chemical_formula_sum 'Y2 Cd4 Au4'
_symmetry_space_group_name_H-M 'P 1 21/m 1'
_symmetry_Int_Tables_number 11
_symmetry_space_group_name_Hall '-P 2yb'
_cell_length_a 4.867
_cell_length_b 4.854
_cell_length_c 10.017
_cell_angle_alpha 90.00
_cell_angle_beta 93.39
_cell_angle_gamma 90.00
loop_
_atom_site_label
_atom_site_type_symbol
_atom_site_fract_x
_atom_site_fract_y
_atom_site_fract_z
Y1 Y 0.227 0.250 0.323
Cd1 Cd 0.261 0.250 0.678
Cd2 Cd 0.283 0.250 0.992
Au1 Au 0.229 0.750 0.155
Au2 Au 0.254 0.750 0.510
```



<iii>
Below is crystalline YCd2Au2 at its relaxed geometry, with properties calculated at the PBE level.

The structure in CIF format:
```
data_YCd2Au2
_chemical_formula_sum 'Y2 Cd4 Au4'
_symmetry_space_group_name_H-M 'P 4/m b m'
_symmetry_Int_Tables_number 127
_symmetry_space_group_name_Hall '-P 4 2ab'
_cell_length_a 7.572
_cell_length_b 7.572
_cell_length_c 3.966
_cell_angle_alpha 90.00
_cell_angle_beta 90.00
_cell_angle_gamma 90.00
loop_
_atom_site_label
_atom_site_type_symbol
_atom_site_fract_x
_atom_site_fract_y
_atom_site_fract_z
Y1 Y 0.000 0.000 0.000
Cd1 Cd 0.168 0.332 0.500
Au1 Au 0.132 0.632 0.000
```



If we sort the structures by their calculated energies, the order from most to least stable is <i>, <ii>, <iii>.